No. 1
4
Lattice="5.379 0.012 -0.040 2.738 4.630 0.040 -3.513 -3.275 2.423" Properties=species:S:1:pos:R:3 comment="CoRe2Br PBE optimized geometry" vol_a3_per_cell=60.7 e_tot_ev_per_atom=-7.34 crystal_system=orthorhombic relative_energy_ev_per_atom=0.542 spacegroup=Immm pbc="T T T"
Br 2.962 -0.471 1.192
Co 1.642 1.838 1.231
Re 7.995 4.573 0.000
Re 4.180 2.390 0.000



No. 2
5
Lattice="-2.033 -4.333 2.222 3.425 -3.805 -4.285 4.048 -0.165 3.382" Properties=species:S:1:pos:R:3 comment="KYZrCl2 PBE optimized geometry" vol_a3_per_cell=185.9 e_tot_ev_per_atom=-3.57 crystal_system=tetragonal spacegroup=P4/mmm pbc="T T T"
Y 1.713 -1.902 -2.142
K 0.000 0.000 0.000
Zr 2.720 -4.151 0.660
Cl 2.024 -0.082 1.691
Cl -1.017 -2.167 1.111



No. 3
12
Lattice="9.231 1.005 0.822 -3.743 8.498 0.822 -1.441 -2.494 4.076" Properties=species:S:1:pos:R:3 comment="Ce2Dy3HoEr6 PBE optimized geometry" vol_a3_per_cell=370.5 e_tot_ev_per_atom=-4.75 crystal_system=orthorhombic spacegroup=Immm formation_enthalpy_0k_ev_per_atom=0.06 pbc="T T T"
Ce 0.593 5.994 0.822
Ce 4.895 3.509 0.822
Dy -2.303 6.003 2.860
Dy 6.351 1.005 2.860
Dy 2.024 3.504 2.860
Ho 0.000 0.000 0.000
Er 5.208 3.994 4.285
Er 3.752 6.497 2.246
Er -1.161 3.014 1.434
Er 0.857 6.507 4.285
Er 0.296 0.512 3.473
Er 3.191 0.501 1.434



No. 4
18
Lattice="-2.179 2.853 2.517 -5.802 0.950 -6.102 -4.516 -6.363 3.303" Properties=species:S:1:pos:R:3 comment="HoSi4Ir4 PBE optimized geometry" vol_a3_per_cell=314.8 e_tot_ev_per_atom=-7.47 crystal_system=tetragonal spacegroup=I4/m pbc="T T T"
Ho 0.000 0.000 0.000
Ho -6.249 -1.280 -0.141
Si -7.204 0.279 -2.736
Si -5.293 -2.839 2.454
Si -7.735 -3.575 -2.645
Si -7.651 -1.951 3.225
Si -7.026 2.244 -0.990
Si -3.665 0.558 0.012
Si -8.832 -3.119 -0.294
Si -2.584 -1.838 -0.153
Ir -7.345 -3.594 1.533
Ir -10.080 -2.358 1.582
Ir -5.152 1.034 -1.815
Ir -3.420 -4.049 1.629
Ir -8.667 -1.483 -2.005
Ir -6.899 -1.364 -4.428
Ir -4.597 2.650 0.653
Ir -3.831 -1.077 1.723